Version a
A plane-wave DFT calculation with PBE was carried out for a relaxed NaFe3Hg crystal.

The structure in CIF format:
```
data_NaFe3Hg
_cell_length_a 4.967
_cell_length_b 4.967
_cell_length_c 4.967
_cell_angle_alpha 90.00
_cell_angle_beta 90.00
_cell_angle_gamma 90.00
_symmetry_space_group_name_H-M 'P 1'
_symmetry_Int_Tables_number 1
loop_
_symmetry_equiv_pos_as_xyz
'x,y,z'
loop_
_atom_site_label
_atom_site_type_symbol
_atom_site_fract_x
_atom_site_fract_y
_atom_site_fract_z
_atom_site_occupancy
Hg1 Hg 0.000 0.000 0.000 1
Fe1 Fe 0.500 0.000 0.000 1
Fe2 Fe 0.000 0.500 0.000 1
Fe3 Fe 0.000 0.000 0.500 1
Na1 Na 0.500 0.500 0.500 1
```

- DOS at the Fermi energy: 14.01 states/eV/f.u.



Version b
A plane-wave DFT calculation with PBE was carried out for a relaxed NaFe3Hg crystal.

The structure in CIF format:
```
data_NaFe3Hg
_cell_length_a 4.489
_cell_length_b 4.489
_cell_length_c 4.489
_cell_angle_alpha 90.00
_cell_angle_beta 90.00
_cell_angle_gamma 90.00
_symmetry_space_group_name_H-M 'P 1'
_symmetry_Int_Tables_number 1
loop_
_symmetry_equiv_pos_as_xyz
'x,y,z'
loop_
_atom_site_label
_atom_site_type_symbol
_atom_site_fract_x
_atom_site_fract_y
_atom_site_fract_z
_atom_site_occupancy
Fe1 Fe 0.500 0.000 0.000 1
Fe2 Fe 0.000 0.000 0.500 1
Fe3 Fe 0.000 0.500 0.000 1
Na1 Na 0.000 0.000 0.000 1
Hg1 Hg 0.500 0.500 0.500 1
```

- DOS at the Fermi energy: 4.60 states/eV/f.u.



What is the stability order? It is version a, version b, from most stable to least stable.



Version a
A plane-wave DFT calculation with PBE was carried out for a relaxed NaFeHg2 crystal.

The structure in CIF format:
```
data_NaFeHg2
_cell_length_a 4.841
_cell_length_b 4.841
_cell_length_c 4.841
_cell_angle_alpha 60.00
_cell_angle_beta 60.00
_cell_angle_gamma 60.00
_symmetry_space_group_name_H-M 'P 1'
_symmetry_Int_Tables_number 1
loop_
_symmetry_equiv_pos_as_xyz
'x,y,z'
loop_
_atom_site_label
_atom_site_type_symbol
_atom_site_fract_x
_atom_site_fract_y
_atom_site_fract_z
_atom_site_occupancy
Na1 Na 0.000 0.000 0.000 1
Fe1 Fe 0.500 0.500 0.500 1
Hg1 Hg 0.750 0.750 0.750 1
Hg2 Hg 0.250 0.250 0.250 1
```

- DOS at the Fermi energy: 4.28 states/eV/f.u.



Version b
A plane-wave DFT calculation with PBE was carried out for a relaxed NaFeHg2 crystal.

The structure in CIF format:
```
data_NaFeHg2
_cell_length_a 4.874
_cell_length_b 4.874
_cell_length_c 9.573
_cell_angle_alpha 75.25
_cell_angle_beta 75.25
_cell_angle_gamma 90.00
_symmetry_space_group_name_H-M 'P 1'
_symmetry_Int_Tables_number 1
loop_
_symmetry_equiv_pos_as_xyz
'x,y,z'
loop_
_atom_site_label
_atom_site_type_symbol
_atom_site_fract_x
_atom_site_fract_y
_atom_site_fract_z
_atom_site_occupancy
Fe1 Fe 0.000 0.000 0.000 1
Fe2 Fe 0.750 0.250 0.500 1
Na1 Na 0.500 0.500 0.000 1
Na2 Na 0.250 0.750 0.500 1
Hg1 Hg 0.694 0.125 0.250 1
Hg2 Hg 0.375 0.306 0.750 1
Hg3 Hg 0.875 0.944 0.750 1
Hg4 Hg 0.056 0.625 0.250 1
```

- DOS at the Fermi energy: 2.26 states/eV/f.u.



What is the stability order? It is version a, version b, from most stable to least stable.



Version a
A plane-wave DFT calculation with PBE was carried out for a relaxed NaFeHgW2 crystal.

The structure in CIF format:
```
data_NaFeHgW2
_cell_length_a 4.645
_cell_length_b 4.270
_cell_length_c 4.645
_cell_angle_alpha 90.00
_cell_angle_beta 90.00
_cell_angle_gamma 90.00
_symmetry_space_group_name_H-M 'P 1'
_symmetry_Int_Tables_number 1
loop_
_symmetry_equiv_pos_as_xyz
'x,y,z'
loop_
_atom_site_label
_atom_site_type_symbol
_atom_site_fract_x
_atom_site_fract_y
_atom_site_fract_z
_atom_site_occupancy
Hg1 Hg 0.500 0.500 0.500 1
Fe1 Fe 0.000 0.500 0.000 1
W1 W 0.000 0.000 0.500 1
W2 W 0.500 0.000 0.000 1
Na1 Na 0.000 0.000 0.000 1
```

- DOS at the Fermi energy: 3.96 states/eV/f.u.



Version b
A plane-wave DFT calculation with PBE was carried out for a relaxed NaFeHgW2 crystal.

The structure in CIF format:
```
data_NaFeHgW2
_cell_length_a 4.462
_cell_length_b 5.019
_cell_length_c 4.462
_cell_angle_alpha 90.00
_cell_angle_beta 90.00
_cell_angle_gamma 90.00
_symmetry_space_group_name_H-M 'P 1'
_symmetry_Int_Tables_number 1
loop_
_symmetry_equiv_pos_as_xyz
'x,y,z'
loop_
_atom_site_label
_atom_site_type_symbol
_atom_site_fract_x
_atom_site_fract_y
_atom_site_fract_z
_atom_site_occupancy
Fe1 Fe 0.000 0.000 0.000 1
Na1 Na 0.000 0.500 0.000 1
Hg1 Hg 0.500 0.500 0.500 1
W1 W 0.500 0.000 0.000 1
W2 W 0.000 0.000 0.500 1
```

- DOS at the Fermi energy: 6.19 states/eV/f.u.



What is the stability order? It is version b, version a, from most stable to least stable.